[1]
A relaxed FeSiW3 crystal, computed with PBE.

a b c (Å): 4.4393 4.4393 4.4393
angles (deg): 90.00 90.00 90.00
Last column: nearest neighbours and their distance in Å.
Atoms (fractional coordinates):
Fe: 0.0000 0.0000 0.0000  6 W 2.22
Si: 0.5000 0.5000 0.5000  12 W 3.14
W: 0.0000 0.0000 0.5000  2 Fe 2.22
W: 0.0000 0.5000 0.0000  2 Fe 2.22
W: 0.5000 0.0000 0.0000  2 Fe 2.22

Calculated values
The symmetry is No. 221. The formation energy from raw total energies comes out at 1437 meV/atom. The value obtained for the total energy is -9.11 eV/atom. The calculated volume is 87.5 Å³ per cell. The value obtained for the theoretical density is 12.06 Mg/m³. The total moment comes out at 0.00 Bohr magnetons per cell. The energy above the most stable polymorph in this dataset comes out at 0 meV per atom.

[2]
A relaxed InGa2Sn3 crystal, computed with PBE.

a b c (Å): 6.8808 6.8808 6.8808
angles (deg): 90.00 90.00 90.00
Last column: nearest neighbours and their distance in Å.
Atoms (fractional coordinates):
In: 0.2500 0.2500 0.2500  4 Ga 2.98
In: 0.7500 0.7500 0.7500  4 Ga 2.98
Ga: 0.0000 0.0000 0.0000  2 In 2.98, 6 Sn 2.98
Ga: 0.0000 0.5000 0.5000  6 Sn 2.98, 2 In 2.98
Ga: 0.5000 0.0000 0.5000  6 Sn 2.98, 2 In 2.98
Ga: 0.5000 0.5000 0.0000  6 Sn 2.98, 2 In 2.98
Sn: 0.2500 0.2500 0.7500  4 Ga 2.98
Sn: 0.2500 0.7500 0.2500  4 Ga 2.98
Sn: 0.2500 0.7500 0.7500  4 Ga 2.98
Sn: 0.7500 0.2500 0.2500  4 Ga 2.98
Sn: 0.7500 0.2500 0.7500  4 Ga 2.98
Sn: 0.7500 0.7500 0.2500  4 Ga 2.98

Calculated values
The symmetry is No. 224. The value obtained for the total energy is -3.39 eV/atom. The calculated volume is 325.8 Å³ per cell. The value obtained for the theoretical density is 6.22 Mg/m³. The total moment comes out at 0.00 Bohr magnetons per cell.

[3]
A relaxed Ca2GaSi3Ni4 crystal, computed with PBE.

a b c (Å): 4.0727 4.0727 9.4421
angles (deg): 90.00 90.00 90.00
Last column: nearest neighbours and their distance in Å.
Atoms (fractional coordinates):
Ca: 0.0000 0.5000 0.2461  8 Ni 3.09, 7 Si 3.12-3.45, 2 Ga 3.15
Ca: 0.5000 0.0000 0.7539  8 Ni 3.09, 7 Si 3.12-3.45, 2 Ga 3.15
Ga: 0.0000 0.0000 0.5000  4 Ni 2.40
Si: 0.0000 0.5000 0.8806  5 Ni 2.32-2.33
Si: 0.5000 0.0000 0.1194  5 Ni 2.32-2.33
Si: 0.5000 0.5000 0.5000  4 Ni 2.40
Ni: 0.0000 0.0000 0.0000  4 Si 2.33
Ni: 0.0000 0.5000 0.6347  3 Si 2.32-2.40, 2 Ga 2.40
Ni: 0.5000 0.0000 0.3653  3 Si 2.32-2.40, 2 Ga 2.40
Ni: 0.5000 0.5000 0.0000  4 Si 2.33

Calculated values
The symmetry is No. 115. The formation energy from raw total energies comes out at -584 meV/atom. The value obtained for the total energy is -5.23 eV/atom. The calculated volume is 156.6 Å³ per cell. The value obtained for the theoretical density is 4.97 Mg/m³. The total moment comes out at 0.00 Bohr magnetons per cell.

[4]
A relaxed La2SmCdC crystal, computed with PBE.

a b c (Å): 5.2448 5.2448 5.0621
angles (deg): 90.00 90.00 90.00
Last column: nearest neighbours and their distance in Å.
Atoms (fractional coordinates):
La: 0.0000 0.5000 0.0000  2 C 2.62
La: 0.5000 0.0000 0.0000  2 C 2.62
Sm: 0.0000 0.0000 0.5000  2 C 2.53
Cd: 0.5000 0.5000 0.5000  8 La 3.64, 4 Sm 3.71
C: 0.0000 0.0000 0.0000  2 Sm 2.53, 4 La 2.62

Calculated values
The symmetry is No. 123. The value obtained for the total energy is -5.12 eV/atom. The calculated volume is 139.2 Å³ per cell. The value obtained for the theoretical density is 6.59 Mg/m³. The total moment comes out at 0.00 Bohr magnetons per cell.

no.,Fermi-level density of states (states/eV/cell)
1,6.311
2,4.286
3,6.585
4,5.280